No. 1
Compound: NdCuSn4Pd2
Source: Alexandria
Functional: PBE
Structure: relaxed

abc: 4.741 4.741 9.366
angles: 75.34 75.34 60.00
Element x y z (fractional)
Pd  0.755  0.755  0.736
Pd  0.245  0.245  0.264
Sn  0.131  0.131  0.607
Sn  0.603  0.603  0.191
Sn  0.869  0.869  0.393
Sn  0.397  0.397  0.809
Nd  0.000  0.000  0.000
Cu  0.500  0.500  0.500

Values from the calculation:
N(E_F): 0.4032 states/eV per atom
Formation energy from the elements: -394 meV per atom

***

No. 2
Compound: NdCuSn2Pd4
Source: Alexandria
Functional: PBE
Structure: relaxed

abc: 4.493 4.493 9.140
angles: 75.77 75.77 60.00
Element x y z (fractional)
Sn  0.239  0.239  0.282
Sn  0.761  0.761  0.718
Pd  0.866  0.866  0.402
Pd  0.401  0.401  0.798
Pd  0.599  0.599  0.202
Pd  0.134  0.134  0.598
Cu  0.500  0.500  0.500
Nd  0.000  0.000  0.000

Values from the calculation:
N(E_F): 0.6069 states/eV per atom
Formation energy from the elements: -574 meV per atom

***

No. 3
Compound: Nd2CuSn4Pd3
Source: Alexandria
Functional: PBE
Structure: relaxed

abc: 4.534 4.534 10.935
angles: 90.00 90.00 90.00
Element x y z (fractional)
Sn  0.500  0.500  0.000
Sn  0.500  0.000  0.627
Sn  0.000  0.000  0.000
Sn  0.000  0.500  0.373
Cu  0.500  0.500  0.500
Pd  0.000  0.000  0.500
Pd  0.000  0.500  0.134
Pd  0.500  0.000  0.866
Nd  0.000  0.500  0.735
Nd  0.500  0.000  0.265

Values from the calculation:
N(E_F): 0.4202 states/eV per atom
Formation energy from the elements: -682 meV per atom

***

No. 4
Compound: Nd2Cu2SnPd5
Source: Alexandria
Functional: PBE
Structure: relaxed

abc: 3.899 9.709 9.709
angles: 90.00 90.00 90.00
Element x y z (fractional)
Cu  0.000  0.120  0.620
Cu  0.000  0.380  0.120
Cu  0.000  0.880  0.380
Cu  0.000  0.620  0.880
Pd  0.500  0.067  0.791
Pd  0.500  0.933  0.209
Pd  0.500  0.567  0.709
Pd  0.500  0.291  0.567
Pd  0.500  0.209  0.067
Pd  0.500  0.500  0.000
Pd  0.500  0.709  0.433
Pd  0.500  0.000  0.500
Pd  0.500  0.433  0.291
Pd  0.500  0.791  0.933
Nd  0.000  0.324  0.824
Nd  0.000  0.824  0.676
Nd  0.000  0.176  0.324
Nd  0.000  0.676  0.176
Sn  0.000  0.000  0.000
Sn  0.000  0.500  0.500

Values from the calculation:
N(E_F): 0.3329 states/eV per atom
Formation energy from the elements: -651 meV per atom

***

No. 5
Compound: TbNdCuPd
Source: Alexandria
Functional: PBE
Structure: relaxed

abc: 3.819 4.564 5.702
angles: 90.00 109.56 90.00
Element x y z (fractional)
Cu  0.425  0.000  0.849
Nd  0.860  0.500  0.720
Tb  0.137  0.000  0.274
Pd  0.579  0.500  0.157

Values from the calculation:
N(E_F): 0.7706 states/eV per atom
Formation energy from the elements: -533 meV per atom
Energy above the lowest structure with this stoichiometry: 0 meV/atom

***

No. 6
Compound: TbNdCuPd
Source: Alexandria
Functional: PBE
Structure: relaxed

abc: 5.041 5.041 5.041
angles: 60.00 60.00 60.00
Element x y z (fractional)
Cu  0.250  0.250  0.250
Pd  0.750  0.750  0.750
Nd  0.500  0.500  0.500
Tb  0.000  0.000  0.000

Values from the calculation:
N(E_F): 0.6742 states/eV per atom
Formation energy from the elements: -492 meV per atom
Energy above the lowest structure with this stoichiometry: 42 meV/atom